Entry 1:
ScSiTe2: relaxed, PBEsol.

```
8
Lattice="-0.8426 -5.3632 3.0390 2.7403 -3.0735 -4.6642 5.0468 4.9859 3.8294" Properties=species:S:1:pos:R:3 pbc="T T T"
Sc 4.3680 -1.1530 -0.8236
Sc 0.0000 0.0000 0.0000
Si 2.5765 -2.2979 3.0280
Si 0.9489 -4.2184 -0.8126
Te 1.5602 -4.5467 1.8379
Te 3.3353 -3.5062 -1.9546
Te 4.9445 -1.5036 1.9018
Te 4.0490 2.6549 2.6236
```

## Properties
Energy relative to the elements, uncorrected ... -0.082 eV per atom
Final energy ... -0.3625 Ry/atom

***

Entry 2:
ScSi2Te: relaxed, PBEsol.

```
4
Lattice="-0.8212 -2.7756 -1.8775 4.3294 -1.7671 0.7188 -1.5399 -2.1849 3.9036" Properties=species:S:1:pos:R:3 pbc="T T T"
Sc -0.4106 -1.3878 -0.9387
Si -0.7699 -1.0924 1.9518
Si 2.1647 -0.8835 0.3594
Te 0.9842 -3.3638 1.3725
```

## Properties
Energy relative to the elements, uncorrected ... -0.077 eV per atom
Final energy ... -0.4030 Ry/atom

***

Entry 3:
Sc3SiTe: relaxed, PBEsol.

```
5
Lattice="4.9383 0.0000 0.0000 0.0000 4.9383 0.0000 0.0000 0.0000 4.9383" Properties=species:S:1:pos:R:3 pbc="T T T"
Sc 0.0000 2.4692 0.0000
Sc 0.0000 0.0000 2.4692
Sc 2.4692 0.0000 0.0000
Si 0.0000 0.0000 0.0000
Te 2.4692 2.4692 2.4692
```

## Properties
Energy relative to the elements, uncorrected ... -0.375 eV per atom
Final energy ... -0.4551 Ry/atom

***

Entry 4:
Sc2SiTe: relaxed, PBEsol.

```
4
Lattice="-2.7890 -2.6737 0.7076 0.7708 -3.8197 -0.4933 1.3211 -2.5761 6.3745" Properties=species:S:1:pos:R:3 pbc="T T T"
Sc -0.5854 -6.7892 4.7437
Sc -0.1117 -2.2803 1.8451
Si -0.3486 -4.5347 3.2944
Te 0.0000 0.0000 0.0000
```

## Properties
Energy above the most stable polymorph in this dataset ... 0 meV per atom
Energy relative to the elements, uncorrected ... -0.978 eV per atom
Final energy ... -0.4850 Ry/atom

***

Entry 5:
Sc2SiTe: relaxed, PBEsol.

```
4
Lattice="4.8822 0.0000 0.0000 2.4411 4.2281 0.0000 2.4411 1.4094 3.9863" Properties=species:S:1:pos:R:3 pbc="T T T"
Sc 7.3233 4.2281 2.9897
Sc 2.4411 1.4094 0.9966
Si 0.0000 0.0000 0.0000
Te 4.8822 2.8188 1.9932
```

## Properties
Energy above the most stable polymorph in this dataset ... 405 meV per atom
Energy relative to the elements, uncorrected ... -0.573 eV per atom
Final energy ... -0.4552 Ry/atom

***

Entry 6:
Sc2SiTe: relaxed, PBEsol.

```
4
Lattice="3.5722 0.0000 0.0000 0.0000 4.7996 -0.0016 0.0000 -0.9305 4.7086" Properties=species:S:1:pos:R:3 pbc="T T T"
Sc 0.0000 2.3998 -0.0008
Sc 0.0000 -0.4653 2.3543
Si 1.7861 0.0000 0.0000
Te 1.7861 1.9346 2.3535
```

## Properties
Energy above the most stable polymorph in this dataset ... 347 meV per atom
Energy relative to the elements, uncorrected ... -0.630 eV per atom
Final energy ... -0.4595 Ry/atom

***

Entry 7:
Sc2TiSi2: relaxed, PBEsol.

```
10
Lattice="3.8196 0.0000 0.0000 0.0000 6.7658 0.0000 0.0000 0.0000 6.7658" Properties=species:S:1:pos:R:3 pbc="T T T"
Sc 1.9098 1.1799 4.5628
Sc 1.9098 4.5628 5.5859
Sc 1.9098 5.5859 2.2030
Sc 1.9098 2.2030 1.1799
Si 0.0000 2.5208 5.9037
Si 0.0000 5.9037 4.2450
Si 0.0000 4.2450 0.8621
Si 0.0000 0.8621 2.5208
Ti 0.0000 0.0000 0.0000
Ti 0.0000 3.3829 3.3829
```

## Properties
Energy above the most stable polymorph in this dataset ... 0 meV per atom
Energy relative to the elements, uncorrected ... -0.752 eV per atom
Final energy ... -0.5408 Ry/atom

***

Entry 8:
Sc2TiSi2: relaxed, PBEsol.

```
5
Lattice="-1.4691 2.7496 1.2746 -1.7410 0.3938 -2.8561 -4.6414 -6.3677 3.9371" Properties=species:S:1:pos:R:3 pbc="T T T"
Sc -4.8056 -3.6897 2.4206
Sc -3.0459 0.4654 -0.0650
Si -3.9937 -2.2011 0.1451
Si -3.8578 -1.0232 2.2105
Ti 0.0000 0.0000 0.0000
```

## Properties
Energy above the most stable polymorph in this dataset ... 719 meV per atom
Energy relative to the elements, uncorrected ... -0.034 eV per atom
Final energy ... -0.4879 Ry/atom

***

Entry 9:
ScTlSi2: relaxed, PBEsol.

```
4
Lattice="-2.1173 2.7510 -2.1430 1.4451 -1.5895 -3.4682 -3.0771 -3.3330 2.6448" Properties=species:S:1:pos:R:3 pbc="T T T"
Sc -0.3361 0.5807 -2.8056
Si -2.7652 -0.0006 -1.1519
Si -0.9841 -2.1708 -1.8145
Tl 0.0000 0.0000 0.0000
```

## Properties
Energy above the most stable polymorph in this dataset ... 0 meV per atom
Energy relative to the elements, uncorrected ... -0.089 eV per atom
Final energy ... -0.3874 Ry/atom

***

Entry 10:
ScTlSi: relaxed, PBEsol.

```
3
Lattice="4.1240 0.0000 0.0000 -2.0620 3.5715 0.0000 0.0000 0.0000 4.3635" Properties=species:S:1:pos:R:3 pbc="T T T"
Sc 0.0000 0.0000 4.1777
Si 0.0000 2.3810 2.9058
Tl 2.0620 1.1905 1.6436
```

## Properties
Energy relative to the elements, uncorrected ... -0.157 eV per atom
Final energy ... -0.3786 Ry/atom

***

Entry 11:
ScTlSi3: relaxed, PBEsol.

```
5
Lattice="5.0092 0.0000 0.0000 0.0000 5.0092 0.0000 0.0000 0.0000 5.0092" Properties=species:S:1:pos:R:3 pbc="T T T"
Sc 0.0000 0.0000 0.0000
Tl 2.5046 2.5046 2.5046
Si 0.0000 2.5046 0.0000
Si 0.0000 0.0000 2.5046
Si 2.5046 0.0000 0.0000
```

## Properties
Energy relative to the elements, uncorrected ... 0.704 eV per atom
Final energy ... -0.3374 Ry/atom

***

Entry 12:
Sc2TlSi: relaxed, PBEsol.

```
4
Lattice="-1.9753 -1.8480 4.0779 1.1703 -4.5239 1.4528 2.7687 -0.6516 3.9820" Properties=species:S:1:pos:R:3 pbc="T T T"
Sc 0.0000 0.0000 0.0000
Sc 1.4727 -5.2677 7.1345
Si 0.9818 -3.5118 4.7563
Tl 0.4909 -1.7559 2.3782
```

## Properties
Energy relative to the elements, uncorrected ... 0.151 eV per atom
Final energy ... -0.3855 Ry/atom